Model i:
Material: Li2Pt
Method: DFT, PBEsol
State: optimized geometry

Geometry as POSCAR:
```
Li2Pt
1.0
3.940 0.000 0.000
0.000 5.190 0.000
0.000 0.000 7.812
Pt Li
4 8
direct
0.750 0.867 0.088
0.250 0.633 0.588
0.750 0.367 0.412
0.250 0.133 0.912
0.750 0.892 0.757
0.750 0.863 0.419
0.250 0.637 0.919
0.250 0.608 0.257
0.750 0.392 0.743
0.750 0.363 0.081
0.250 0.137 0.581
0.250 0.108 0.243
```

Calculated values
magnetic moment	0.000	μB per atom
theoretical density	8.7	g/cm3



Model ii:
Material: Li2Pt
Method: DFT, PBEsol
State: optimized geometry

Geometry as POSCAR:
```
Li2Pt
1.0
2.657 0.000 0.000
0.000 7.340 0.000
0.000 -3.670 6.356
Pt Li
3 6
direct
0.500 0.000 0.000
0.000 0.667 0.333
0.000 0.333 0.667
0.000 0.304 0.000
0.500 0.636 0.000
0.000 0.000 0.304
0.500 0.000 0.636
0.000 0.696 0.696
0.500 0.364 0.364
```

Calculated values
magnetic moment	0.000	μB per atom
theoretical density	8.4	g/cm3



Model iii:
Material: Li2Pt
Method: DFT, PBEsol
State: optimized geometry

Geometry as POSCAR:
```
Li2Pt
1.0
-0.338 2.601 0.519
-1.684 0.562 -3.913
-6.203 -2.637 2.292
Pt Li
2 4
direct
0.383 0.750 0.766
0.617 0.250 0.234
0.721 0.750 0.442
0.950 0.250 0.900
0.050 0.750 0.100
0.279 0.250 0.558
```

Calculated values
magnetic moment	0.000	μB per atom
theoretical density	8.6	g/cm3



In terms of stability, model iii leads; the second structure lies 21 meV/atom higher.



Model i:
Material: Li5Pt
Method: DFT, PBEsol
State: optimized geometry

Geometry as POSCAR:
```
Li5Pt
1.0
4.054 0.000 0.000
0.000 4.073 0.000
0.000 2.037 5.542
Pt Li
1 5
direct
0.000 0.500 0.000
0.500 0.353 0.294
0.000 0.153 0.693
0.500 0.000 0.000
0.000 0.847 0.307
0.500 0.647 0.706
```

Calculated values
magnetic moment	0.000	μB per atom
theoretical density	4.2	g/cm3



Model ii:
Material: Li5Pt
Method: DFT, PBEsol
State: optimized geometry

Geometry as POSCAR:
```
Li5Pt
1.0
2.898 0.000 0.000
-1.449 5.183 -0.038
0.000 -2.019 6.340
Pt Li
1 5
direct
0.709 0.418 0.940
0.020 0.040 0.002
0.378 0.755 0.222
0.687 0.375 0.327
0.053 0.106 0.621
0.320 0.640 0.721
```

Calculated values
magnetic moment	0.000	μB per atom
theoretical density	4.0	g/cm3



Model iii:
Material: Li5Pt
Method: DFT, PBEsol
State: optimized geometry

Geometry as POSCAR:
```
Li5Pt
1.0
-3.089 -3.040 -1.019
0.726 -2.157 4.236
-3.295 3.479 -0.393
Pt Li
1 5
direct
0.500 0.000 0.000
0.000 0.304 0.304
0.000 0.696 0.000
0.000 0.000 0.696
0.500 0.333 0.667
0.500 0.667 0.333
```

Calculated values
magnetic moment	0.000	μB per atom
theoretical density	4.3	g/cm3



In terms of stability, model iii leads; the second structure lies 7 meV/atom higher.